Material: HoTlIn2
Method: DFT, PBE
State: relaxed

Values from the calculation:
Symmetry   P4/mmm (123)
VASP energy   -3.281 eV/atom
Energy of formation from the pure elements   -0.70 eV per formula unit

Cell: 3.821 3.821 7.433 Å, 90.00 90.00 90.00°
Sites, in units of the cell vectors:
In (0.000, 0.000, 0.751)
In (0.000, 0.000, 0.249)
Tl (0.500, 0.500, 0.500)
Ho (0.500, 0.500, 0.000)